Entry 1:
This record from Alexandria describes an optimized crystal structure of PrZnGe2. The functional is PBE.

a = 4.459 Å, b = 4.459 Å, c = 4.252 Å
α = 90.00°, β = 90.00°, γ = 90.00°
Element x y z (fractional)
Pr  0.000  0.000  0.000
Zn  0.500  0.500  0.000
Ge  0.000  0.500  0.500
Ge  0.500  0.000  0.500

Summary:
- E (eV per atom) = -4.2293
- M_tot (Bohr magnetons per cell) = 0.0
- formation enthalpy at 0 K (eV per atom) = -0.41
- space-group type = No. 123

---

Entry 2:
This record from Alexandria describes an optimized crystal structure of PrZnGe. The functional is PBE.

a = 4.306 Å, b = 4.306 Å, c = 16.807 Å
α = 90.00°, β = 90.00°, γ = 120.00°
Element x y z (fractional)
Pr  0.000  0.000  0.000
Pr  0.000  0.000  0.250
Pr  0.000  0.000  0.500
Pr  0.000  0.000  0.750
Zn  0.333  0.667  0.140
Zn  0.333  0.667  0.360
Zn  0.667  0.333  0.640
Zn  0.667  0.333  0.860
Ge  0.333  0.667  0.617
Ge  0.333  0.667  0.883
Ge  0.667  0.333  0.117
Ge  0.667  0.333  0.383

Summary:
- E (eV per atom) = -4.2450
- M_tot (Bohr magnetons per cell) = 0.0
- formation enthalpy at 0 K (eV per atom) = -0.69
- space-group type = No. 194

---

Entry 3:
This record from Alexandria describes an optimized crystal structure of Pr4Zn5Ge6. The functional is PBE.

a = 9.784 Å, b = 9.784 Å, c = 15.818 Å
α = 90.00°, β = 90.00°, γ = 154.26°
Element x y z (fractional)
Pr  0.021  0.979  0.500
Pr  0.032  0.968  0.761
Pr  0.170  0.830  0.303
Pr  0.177  0.823  0.947
Pr  0.823  0.177  0.447
Pr  0.830  0.170  0.803
Pr  0.968  0.032  0.261
Pr  0.979  0.021  0.000
Zn  0.151  0.849  0.627
Zn  0.299  0.701  0.626
Zn  0.345  0.655  0.274
Zn  0.350  0.650  0.980
Zn  0.433  0.567  0.683
Zn  0.567  0.433  0.183
Zn  0.650  0.350  0.480
Zn  0.655  0.345  0.774
Zn  0.701  0.299  0.126
Zn  0.849  0.151  0.127
Ge  0.112  0.888  0.119
Ge  0.219  0.781  0.490
Ge  0.223  0.777  0.762
Ge  0.431  0.569  0.130
Ge  0.432  0.568  0.404
Ge  0.440  0.560  0.854
Ge  0.560  0.440  0.354
Ge  0.568  0.432  0.904
Ge  0.569  0.431  0.630
Ge  0.777  0.223  0.262
Ge  0.781  0.219  0.990
Ge  0.888  0.112  0.619

Summary:
- E (eV per atom) = -4.1137
- M_tot (Bohr magnetons per cell) = 0.0
- formation enthalpy at 0 K (eV per atom) = -0.57
- space-group type = No. 36

---

Entry 4:
This record from Alexandria describes an optimized crystal structure of Pr2ZnGe3. The functional is PBE.

a = 8.593 Å, b = 8.556 Å, c = 6.036 Å
α = 69.72°, β = 69.07°, γ = 41.22°
Element x y z (fractional)
Pr  0.243  0.757  0.757
Pr  0.250  0.250  0.250
Pr  0.750  0.750  0.750
Pr  0.757  0.243  0.243
Zn  0.334  0.334  0.666
Zn  0.666  0.666  0.334
Ge  0.170  0.170  0.830
Ge  0.173  0.658  0.342
Ge  0.342  0.827  0.173
Ge  0.658  0.173  0.827
Ge  0.827  0.342  0.658
Ge  0.830  0.830  0.170

Summary:
- E (eV per atom) = -4.7694
- M_tot (Bohr magnetons per cell) = 0.0
- formation enthalpy at 0 K (eV per atom) = -0.66
- space-group type = No. 69

---

Entry 5:
This record from Alexandria describes an optimized crystal structure of PrZn2Ge. The functional is PBE.

a = 10.543 Å, b = 10.543 Å, c = 10.543 Å
α = 17.39°, β = 17.39°, γ = 17.39°
Element x y z (fractional)
Pr  0.000  0.000  0.000
Zn  0.098  0.098  0.098
Zn  0.902  0.902  0.902
Ge  0.500  0.500  0.500

Summary:
- E (eV per atom) = -2.6288
- M_tot (Bohr magnetons per cell) = 0.0
- formation enthalpy at 0 K (eV per atom) = 0.36
- space-group type = No. 166
- relative energy among the computed polymorphs (meV per atom) = 712

---

Entry 6:
This record from Alexandria describes an optimized crystal structure of Pr8ZnGe5. The functional is PBE.

a = 8.009 Å, b = 8.009 Å, c = 8.009 Å
α = 109.59°, β = 109.59°, γ = 109.24°
Element x y z (fractional)
Pr  0.129  0.241  0.756
Pr  0.135  0.751  0.759
Pr  0.249  0.008  0.385
Pr  0.485  0.373  0.244
Pr  0.623  0.865  0.615
Pr  0.627  0.871  0.112
Pr  0.759  0.515  0.888
Pr  0.992  0.377  0.241
Zn  0.750  0.250  0.500
Ge  0.000  0.000  0.000
Ge  0.252  0.630  0.125
Ge  0.370  0.495  0.621
Ge  0.505  0.127  0.875
Ge  0.873  0.748  0.379

Summary:
- E (eV per atom) = -5.1487
- M_tot (Bohr magnetons per cell) = 0.0
- formation enthalpy at 0 K (eV per atom) = -0.68
- space-group type = No. 82

---

Entry 7:
This record from Alexandria describes an optimized crystal structure of PrZrGe2. The functional is PBE.

a = 7.206 Å, b = 7.206 Å, c = 7.206 Å
α = 32.69°, β = 32.69°, γ = 32.69°
Element x y z (fractional)
Pr  0.000  0.000  0.000
Zr  0.500  0.500  0.500
Ge  0.240  0.240  0.240
Ge  0.760  0.760  0.760

Summary:
- E (eV per atom) = -6.3431
- M_tot (Bohr magnetons per cell) = 0.0
- formation enthalpy at 0 K (eV per atom) = -0.70
- space-group type = No. 166

---

Entry 8:
This record from Alexandria describes an optimized crystal structure of GePt. The functional is PBE.

a = 3.652 Å, b = 3.652 Å, c = 7.393 Å
α = 90.00°, β = 90.00°, γ = 120.00°
Element x y z (fractional)
Ge  0.333  0.667  0.000
Ge  0.667  0.333  0.500
Pt  0.333  0.667  0.336
Pt  0.667  0.333  0.836

Summary:
- E (eV per atom) = -5.5624
- M_tot (Bohr magnetons per cell) = 0.0
- formation enthalpy at 0 K (eV per atom) = -0.23
- space-group type = No. 186

---

Entry 9:
This record from Alexandria describes an optimized crystal structure of GePt6. The functional is PBE.

a = 6.089 Å, b = 6.089 Å, c = 6.089 Å
α = 109.47°, β = 109.47°, γ = 109.47°
Element x y z (fractional)
Ge  0.000  0.000  0.000
Pt  0.250  0.500  0.750
Pt  0.250  0.750  0.500
Pt  0.500  0.250  0.750
Pt  0.500  0.750  0.250
Pt  0.750  0.250  0.500
Pt  0.750  0.500  0.250

Summary:
- E (eV per atom) = -4.9044
- M_tot (Bohr magnetons per cell) = 2.7
- formation enthalpy at 0 K (eV per atom) = 0.93
- space-group type = No. 229

---

Entry 10:
This record from Alexandria describes an optimized crystal structure of GePt4. The functional is PBE.

a = 4.594 Å, b = 4.594 Å, c = 4.594 Å
α = 90.00°, β = 90.00°, γ = 90.00°
Element x y z (fractional)
Ge  0.000  0.000  0.000
Pt  0.000  0.000  0.500
Pt  0.000  0.500  0.000
Pt  0.500  0.000  0.000
Pt  0.500  0.500  0.500

Summary:
- E (eV per atom) = -5.0123
- M_tot (Bohr magnetons per cell) = 0.0
- formation enthalpy at 0 K (eV per atom) = 0.74
- space-group type = No. 221
- relative energy among the computed polymorphs (meV per atom) = 894

---

Entry 11:
This record from Alexandria describes an optimized crystal structure of GePt. The functional is PBE.

a = 7.520 Å, b = 7.520 Å, c = 3.160 Å
α = 90.00°, β = 90.00°, γ = 90.00°
Element x y z (fractional)
Ge  0.192  0.192  0.000
Ge  0.308  0.692  0.500
Ge  0.692  0.308  0.500
Ge  0.808  0.808  0.000
Pt  0.135  0.865  0.000
Pt  0.365  0.365  0.500
Pt  0.635  0.635  0.500
Pt  0.865  0.135  0.000

Summary:
- E (eV per atom) = -5.5558
- M_tot (Bohr magnetons per cell) = 0.0
- formation enthalpy at 0 K (eV per atom) = -0.23
- space-group type = No. 136

---

Entry 12:
This record from Alexandria describes an optimized crystal structure of GePt. The functional is PBE.

a = 6.906 Å, b = 6.906 Å, c = 6.906 Å
α = 90.00°, β = 90.00°, γ = 90.00°
Element x y z (fractional)
Ge  0.000  0.250  0.500
Ge  0.000  0.750  0.500
Ge  0.250  0.500  0.000
Ge  0.500  0.000  0.250
Ge  0.500  0.000  0.750
Ge  0.750  0.500  0.000
Pt  0.000  0.500  0.250
Pt  0.000  0.500  0.750
Pt  0.250  0.000  0.500
Pt  0.500  0.250  0.000
Pt  0.500  0.750  0.000
Pt  0.750  0.000  0.500

Summary:
- E (eV per atom) = -5.4167
- M_tot (Bohr magnetons per cell) = 0.0
- formation enthalpy at 0 K (eV per atom) = -0.09
- space-group type = No. 223

---

The lowest formation enthalpy at 0 K belongs to which entry?
PrZrGe2